Record 1
{
  "formula": "Pr2Dy4Mg",
  "functional": "GGA-PBE",
  "state": "relaxed",
  "total_magnetization_mub_per_fu": 0.00,
  "dos_ef_per_ev_atom": 1.492,
  "ef_mev_per_atom": 224,
  "relative_energy_kj_per_mol_fu": 0,
  "lattice_angstrom": [[5.9414, -3.3009, 0.0000], [5.9414, 3.3009, 0.0000], [0.0000, 0.0000, 11.8148]],
  "species": ["Pr", "Pr", "Pr", "Pr", "Dy", "Dy", "Dy", "Dy", "Dy", "Dy", "Dy", "Dy", "Mg", "Mg"],
  "frac_coords": [[0.1479, 0.1479, 0.0000], [0.3521, 0.3521, 0.5000], [0.6479, 0.6479, 0.5000], [0.8521, 0.8521, 0.0000], [0.1642, 0.3358, 0.7500], [0.2045, 0.7955, 0.7540], [0.2955, 0.7045, 0.2540], [0.3358, 0.1642, 0.2500], [0.6642, 0.8358, 0.7500], [0.7045, 0.2955, 0.7460], [0.7955, 0.2045, 0.2460], [0.8358, 0.6642, 0.2500], [0.0000, 0.0000, 0.5000], [0.5000, 0.5000, 0.0000]]
}

Record 2
{
  "formula": "Pr12Dy7Mg",
  "functional": "GGA-PBE",
  "state": "relaxed",
  "total_magnetization_mub_per_fu": 0.00,
  "dos_ef_per_ev_atom": 1.568,
  "ef_mev_per_atom": 132,
  "relative_energy_kj_per_mol_fu": 0,
  "lattice_angstrom": [[7.5990, 4.3873, 3.4035], [-7.5990, 4.3873, 3.4035], [0.0000, -8.7745, 3.4035]],
  "species": ["Pr", "Pr", "Pr", "Pr", "Pr", "Pr", "Pr", "Pr", "Pr", "Pr", "Pr", "Pr", "Dy", "Dy", "Dy", "Dy", "Dy", "Dy", "Dy", "Mg"],
  "frac_coords": [[0.0788, 0.8029, 0.2820], [0.1270, 0.2076, 0.4359], [0.1971, 0.7180, 0.9212], [0.2076, 0.4359, 0.1270], [0.2820, 0.0788, 0.8029], [0.4359, 0.1270, 0.2076], [0.5641, 0.8730, 0.7924], [0.7180, 0.9212, 0.1971], [0.7924, 0.5641, 0.8730], [0.8029, 0.2820, 0.0788], [0.8730, 0.7924, 0.5641], [0.9212, 0.1971, 0.7180], [0.0000, 0.0000, 0.0000], [0.1802, 0.6218, 0.5108], [0.3782, 0.4892, 0.8198], [0.4892, 0.8198, 0.3782], [0.5108, 0.1802, 0.6218], [0.6218, 0.5108, 0.1802], [0.8198, 0.3782, 0.4892], [0.5000, 0.5000, 0.5000]]
}

Record 3
{
  "formula": "Pr2DyMg3",
  "functional": "GGA-PBE",
  "state": "relaxed",
  "total_magnetization_mub_per_fu": 0.00,
  "dos_ef_per_ev_atom": 1.120,
  "ef_mev_per_atom": -101,
  "lattice_angstrom": [[3.8619, 0.0000, 0.0000], [0.0000, 3.8619, 0.0000], [0.0000, 0.0000, 11.6640]],
  "species": ["Pr", "Pr", "Dy", "Mg", "Mg", "Mg"],
  "frac_coords": [[0.0000, 0.0000, 0.1718], [0.0000, 0.0000, 0.8282], [0.0000, 0.0000, 0.5000], [0.5000, 0.5000, 0.0000], [0.5000, 0.5000, 0.3430], [0.5000, 0.5000, 0.6570]]
}

Record 4
{
  "formula": "Pr12Dy2Mg",
  "functional": "GGA-PBE",
  "state": "relaxed",
  "total_magnetization_mub_per_fu": 0.00,
  "dos_ef_per_ev_atom": 1.229,
  "ef_mev_per_atom": 288,
  "lattice_angstrom": [[6.6587, 0.0000, 0.0000], [0.0000, 6.6587, 0.0000], [0.0000, 0.0000, 25.2680]],
  "species": ["Pr", "Pr", "Pr", "Pr", "Pr", "Pr", "Pr", "Pr", "Pr", "Pr", "Pr", "Pr", "Pr", "Pr", "Pr", "Pr", "Pr", "Pr", "Pr", "Pr", "Pr", "Pr", "Pr", "Pr", "Dy", "Dy", "Dy", "Dy", "Mg", "Mg"],
  "frac_coords": [[0.0662, 0.5662, 0.1075], [0.0662, 0.9338, 0.8925], [0.0820, 0.5820, 0.5637], [0.0820, 0.9180, 0.4363], [0.2500, 0.2500, 0.2102], [0.2500, 0.2500, 0.3341], [0.2500, 0.2500, 0.6659], [0.2500, 0.2500, 0.7898], [0.4180, 0.5820, 0.4363], [0.4180, 0.9180, 0.5637], [0.4338, 0.5662, 0.8925], [0.4338, 0.9338, 0.1075], [0.5662, 0.0662, 0.8925], [0.5662, 0.4338, 0.1075], [0.5820, 0.0820, 0.4363], [0.5820, 0.4180, 0.5637], [0.7500, 0.7500, 0.2102], [0.7500, 0.7500, 0.3341], [0.7500, 0.7500, 0.6659], [0.7500, 0.7500, 0.7898], [0.9180, 0.0820, 0.5637], [0.9180, 0.4180, 0.4363], [0.9338, 0.0662, 0.1075], [0.9338, 0.4338, 0.8925], [0.2500, 0.7500, 0.2683], [0.2500, 0.7500, 0.7317], [0.7500, 0.2500, 0.2683], [0.7500, 0.2500, 0.7317], [0.2500, 0.7500, 0.0000], [0.7500, 0.2500, 0.0000]]
}

Record 5
{
  "formula": "Pr4Dy3Mg",
  "functional": "GGA-PBE",
  "state": "relaxed",
  "total_magnetization_mub_per_fu": 0.00,
  "dos_ef_per_ev_atom": 1.366,
  "ef_mev_per_atom": -7,
  "lattice_angstrom": [[3.6675, 0.0000, 0.0000], [0.0000, 3.6675, 0.0000], [0.0000, 0.0000, 19.6248]],
  "species": ["Pr", "Pr", "Pr", "Pr", "Dy", "Dy", "Dy", "Mg"],
  "frac_coords": [[0.0000, 0.0000, 0.1136], [0.0000, 0.0000, 0.3715], [0.0000, 0.0000, 0.6285], [0.0000, 0.0000, 0.8864], [0.5000, 0.5000, 0.2419], [0.5000, 0.5000, 0.5000], [0.5000, 0.5000, 0.7581], [0.5000, 0.5000, 0.0000]]
}

Record 6
{
  "formula": "Pr4Dy5Mg",
  "functional": "GGA-PBE",
  "state": "relaxed",
  "total_magnetization_mub_per_fu": 0.00,
  "dos_ef_per_ev_atom": 1.231,
  "ef_mev_per_atom": 167,
  "relative_energy_kj_per_mol_fu": 160,
  "lattice_angstrom": [[-5.3993, 5.3993, 2.9085], [5.3993, -5.3993, 2.9085], [5.3993, 5.3993, -2.9085]],
  "species": ["Pr", "Pr", "Pr", "Pr", "Dy", "Dy", "Dy", "Dy", "Dy", "Mg"],
  "frac_coords": [[0.0000, 0.3163, 0.3163], [0.0000, 0.6837, 0.6837], [0.3163, 0.0000, 0.3163], [0.6837, 0.0000, 0.6837], [0.3284, 0.3284, 0.6309], [0.3284, 0.6975, 0.0000], [0.6975, 0.3284, 0.0000], [0.6975, 0.6975, 0.3691], [0.8016, 0.8016, 0.0000], [0.2832, 0.2832, 0.0000]]
}

Record 7
{
  "formula": "Pr6DyMg5",
  "functional": "GGA-PBE",
  "state": "relaxed",
  "total_magnetization_mub_per_fu": 0.00,
  "dos_ef_per_ev_atom": 1.133,
  "ef_mev_per_atom": -64,
  "lattice_angstrom": [[5.5687, 0.0000, 0.0000], [0.0000, 7.8599, 0.0000], [-2.7862, 0.0000, 8.4087]],
  "species": ["Pr", "Pr", "Pr", "Pr", "Pr", "Pr", "Dy", "Mg", "Mg", "Mg", "Mg", "Mg"],
  "frac_coords": [[0.0000, 0.2391, 0.0000], [0.0000, 0.7609, 0.0000], [0.3321, 0.2475, 0.6597], [0.3321, 0.7525, 0.6597], [0.6679, 0.2475, 0.3403], [0.6679, 0.7525, 0.3403], [0.5000, 0.5000, 0.0000], [0.1593, 0.5000, 0.3232], [0.1640, 0.0000, 0.3344], [0.5000, 0.0000, 0.0000], [0.8360, 0.0000, 0.6656], [0.8407, 0.5000, 0.6768]]
}

Record 8
{
  "formula": "Pr10Dy6Mg",
  "functional": "GGA-PBE",
  "state": "relaxed",
  "total_magnetization_mub_per_fu": 0.00,
  "dos_ef_per_ev_atom": 1.481,
  "ef_mev_per_atom": 115,
  "lattice_angstrom": [[9.8634, 0.0000, 0.0000], [-4.9317, 8.5419, 0.0000], [0.0000, 0.0000, 6.9419]],
  "species": ["Pr", "Pr", "Pr", "Pr", "Pr", "Pr", "Pr", "Pr", "Pr", "Pr", "Dy", "Dy", "Dy", "Dy", "Dy", "Dy", "Mg"],
  "frac_coords": [[0.0000, 0.2655, 0.3158], [0.0000, 0.7345, 0.6842], [0.2655, 0.0000, 0.3158], [0.2655, 0.2655, 0.6842], [0.3333, 0.6667, 0.0000], [0.3333, 0.6667, 0.5000], [0.6667, 0.3333, 0.0000], [0.6667, 0.3333, 0.5000], [0.7345, 0.0000, 0.6842], [0.7345, 0.7345, 0.3158], [0.0000, 0.3727, 0.8096], [0.0000, 0.6273, 0.1904], [0.3727, 0.0000, 0.8096], [0.3727, 0.3727, 0.1904], [0.6273, 0.0000, 0.1904], [0.6273, 0.6273, 0.8096], [0.0000, 0.0000, 0.0000]]
}